[1]
The following is a DFT calculation (PBE) of a relaxed InFeCoW crystal.

Summary:
For the volume, the calculation gives 14.61 Å³/atom. The calculation puts the theoretical density at 11745 kg/m³. The relative energy among the computed polymorphs comes out at 268.9 meV per atom. Its space group is F-43m, No. 216.

abc: 6.161 6.161 6.161
angles: 90.00 90.00 90.00
Fractional coordinates of all 16 atoms:
In  0.000  0.000  0.000
In  0.000  0.500  0.500
In  0.500  0.000  0.500
In  0.500  0.500  0.000
Fe  0.000  0.000  0.500
Fe  0.000  0.500  0.000
Fe  0.500  0.000  0.000
Fe  0.500  0.500  0.500
Co  0.250  0.250  0.250
Co  0.250  0.750  0.750
Co  0.750  0.250  0.750
Co  0.750  0.750  0.250
W  0.250  0.250  0.750
W  0.250  0.750  0.250
W  0.750  0.250  0.250
W  0.750  0.750  0.750

[2]
The following is a DFT calculation (PBE) of a relaxed InFeCoW crystal.

Summary:
For the volume, the calculation gives 14.05 Å³/atom. The calculation puts the theoretical density at 12215 kg/m³. The relative energy among the computed polymorphs comes out at 0.0 meV per atom. Its space group is F-43m, No. 216.

abc: 6.080 6.080 6.080
angles: 90.00 90.00 90.00
Fractional coordinates of all 16 atoms:
In  0.000  0.000  0.000
In  0.000  0.500  0.500
In  0.500  0.000  0.500
In  0.500  0.500  0.000
Fe  0.250  0.250  0.750
Fe  0.250  0.750  0.250
Fe  0.750  0.250  0.250
Fe  0.750  0.750  0.750
Co  0.250  0.250  0.250
Co  0.250  0.750  0.750
Co  0.750  0.250  0.750
Co  0.750  0.750  0.250
W  0.000  0.000  0.500
W  0.000  0.500  0.000
W  0.500  0.000  0.000
W  0.500  0.500  0.500

[3]
The following is a DFT calculation (PBE) of a relaxed YInFeCo crystal.

Summary:
For the volume, the calculation gives 17.25 Å³/atom. The calculation puts the theoretical density at 7663 kg/m³. The relative energy among the computed polymorphs comes out at 140.7 meV per atom. Its space group is F-43m, No. 216.

abc: 6.511 6.511 6.511
angles: 90.00 90.00 90.00
Fractional coordinates of all 16 atoms:
Y  0.000  0.000  0.000
Y  0.000  0.500  0.500
Y  0.500  0.000  0.500
Y  0.500  0.500  0.000
In  0.250  0.250  0.250
In  0.250  0.750  0.750
In  0.750  0.250  0.750
In  0.750  0.750  0.250
Fe  0.000  0.000  0.500
Fe  0.000  0.500  0.000
Fe  0.500  0.000  0.000
Fe  0.500  0.500  0.500
Co  0.250  0.250  0.750
Co  0.250  0.750  0.250
Co  0.750  0.250  0.250
Co  0.750  0.750  0.750

[4]
The following is a DFT calculation (PBE) of a relaxed YInFeCo crystal.

Summary:
For the volume, the calculation gives 18.07 Å³/atom. The calculation puts the theoretical density at 7319 kg/m³. The relative energy among the computed polymorphs comes out at 127.9 meV per atom. Its space group is F-43m, No. 216.

abc: 6.612 6.612 6.612
angles: 90.00 90.00 90.00
Fractional coordinates of all 16 atoms:
Y  0.000  0.000  0.000
Y  0.000  0.500  0.500
Y  0.500  0.000  0.500
Y  0.500  0.500  0.000
In  0.250  0.250  0.250
In  0.250  0.750  0.750
In  0.750  0.250  0.750
In  0.750  0.750  0.250
Fe  0.250  0.250  0.750
Fe  0.250  0.750  0.250
Fe  0.750  0.250  0.250
Fe  0.750  0.750  0.750
Co  0.000  0.000  0.500
Co  0.000  0.500  0.000
Co  0.500  0.000  0.000
Co  0.500  0.500  0.500

[5]
The following is a DFT calculation (PBE) of a relaxed YInFeCo crystal.

Summary:
For the volume, the calculation gives 17.20 Å³/atom. The calculation puts the theoretical density at 7687 kg/m³. The relative energy among the computed polymorphs comes out at 0.0 meV per atom. Its space group is F-43m, No. 216.

abc: 6.505 6.505 6.505
angles: 90.00 90.00 90.00
Fractional coordinates of all 16 atoms:
Y  0.000  0.000  0.000
Y  0.000  0.500  0.500
Y  0.500  0.000  0.500
Y  0.500  0.500  0.000
In  0.000  0.000  0.500
In  0.000  0.500  0.000
In  0.500  0.000  0.000
In  0.500  0.500  0.500
Fe  0.250  0.250  0.250
Fe  0.250  0.750  0.750
Fe  0.750  0.250  0.750
Fe  0.750  0.750  0.250
Co  0.250  0.250  0.750
Co  0.250  0.750  0.250
Co  0.750  0.250  0.250
Co  0.750  0.750  0.750

[6]
The following is a DFT calculation (PBE) of a relaxed ZrInFeCo crystal.

Summary:
For the volume, the calculation gives 15.31 Å³/atom. The calculation puts the theoretical density at 8697 kg/m³. The relative energy among the computed polymorphs comes out at 0.0 meV per atom. Its space group is F-43m, No. 216.

abc: 6.258 6.258 6.258
angles: 90.00 90.00 90.00
Fractional coordinates of all 16 atoms:
Zr  0.000  0.000  0.000
Zr  0.000  0.500  0.500
Zr  0.500  0.000  0.500
Zr  0.500  0.500  0.000
In  0.000  0.000  0.500
In  0.000  0.500  0.000
In  0.500  0.000  0.000
In  0.500  0.500  0.500
Fe  0.250  0.250  0.250
Fe  0.250  0.750  0.750
Fe  0.750  0.250  0.750
Fe  0.750  0.750  0.250
Co  0.250  0.250  0.750
Co  0.250  0.750  0.250
Co  0.750  0.250  0.250
Co  0.750  0.750  0.750

[7]
The following is a DFT calculation (PBE) of a relaxed ZrInFeCo crystal.

Summary:
For the volume, the calculation gives 16.57 Å³/atom. The calculation puts the theoretical density at 8039 kg/m³. The relative energy among the computed polymorphs comes out at 283.6 meV per atom. Its space group is F-43m, No. 216.

abc: 6.424 6.424 6.424
angles: 90.00 90.00 90.00
Fractional coordinates of all 16 atoms:
Zr  0.000  0.000  0.000
Zr  0.000  0.500  0.500
Zr  0.500  0.000  0.500
Zr  0.500  0.500  0.000
In  0.250  0.250  0.250
In  0.250  0.750  0.750
In  0.750  0.250  0.750
In  0.750  0.750  0.250
Fe  0.250  0.250  0.750
Fe  0.250  0.750  0.250
Fe  0.750  0.250  0.250
Fe  0.750  0.750  0.750
Co  0.000  0.000  0.500
Co  0.000  0.500  0.000
Co  0.500  0.000  0.000
Co  0.500  0.500  0.500

[8]
The following is a DFT calculation (PBE) of a relaxed ZrInFeCo crystal.

Summary:
For the volume, the calculation gives 16.54 Å³/atom. The calculation puts the theoretical density at 8052 kg/m³. The relative energy among the computed polymorphs comes out at 287.0 meV per atom. Its space group is F-43m, No. 216.

abc: 6.420 6.420 6.420
angles: 90.00 90.00 90.00
Fractional coordinates of all 16 atoms:
Zr  0.000  0.000  0.000
Zr  0.000  0.500  0.500
Zr  0.500  0.000  0.500
Zr  0.500  0.500  0.000
In  0.250  0.250  0.250
In  0.250  0.750  0.750
In  0.750  0.250  0.750
In  0.750  0.750  0.250
Fe  0.000  0.000  0.500
Fe  0.000  0.500  0.000
Fe  0.500  0.000  0.000
Fe  0.500  0.500  0.500
Co  0.250  0.250  0.750
Co  0.250  0.750  0.250
Co  0.750  0.250  0.250
Co  0.750  0.750  0.750

[9]
The following is a DFT calculation (PBE) of a relaxed Fe6CoIr crystal.

Summary:
For the volume, the calculation gives 11.94 Å³/atom. The value obtained for the calculated total energy is -8.2683 eV/atom. The calculation puts the theoretical density at 10192 kg/m³. Its space group is P4/mmm, No. 123.

abc: 4.076 4.076 5.749
angles: 90.00 90.00 90.00
Fractional coordinates of all 8 atoms:
Fe  0.000  0.000  0.000
Fe  0.000  0.500  0.241
Fe  0.000  0.500  0.759
Fe  0.500  0.000  0.241
Fe  0.500  0.000  0.759
Fe  0.500  0.500  0.500
Co  0.500  0.500  0.000
Ir  0.000  0.000  0.500

[10]
The following is a DFT calculation (PBE) of a relaxed Nb2Zn2FeCoIr2 crystal.

Summary:
For the volume, the calculation gives 14.31 Å³/atom. The value obtained for the calculated total energy is -7.2705 eV/atom. The calculation puts the theoretical density at 11836 kg/m³. Its space group is P-4m2, No. 115.

abc: 4.324 4.324 6.121
angles: 90.00 90.00 90.00
Fractional coordinates of all 8 atoms:
Nb  0.000  0.500  0.248
Nb  0.500  0.000  0.752
Zn  0.000  0.500  0.750
Zn  0.500  0.000  0.250
Fe  0.000  0.000  0.000
Co  0.500  0.500  0.500
Ir  0.000  0.000  0.500
Ir  0.500  0.500  0.000

[11]
The following is a DFT calculation (PBE) of a relaxed FeCoSiIr crystal.

Summary:
For the volume, the calculation gives 12.27 Å³/atom. The calculation puts the theoretical density at 11333 kg/m³. The relative energy among the computed polymorphs comes out at 0.0 meV per atom. Its space group is F-43m, No. 216.

abc: 5.813 5.813 5.813
angles: 90.00 90.00 90.00
Fractional coordinates of all 16 atoms:
Fe  0.000  0.000  0.000
Fe  0.000  0.500  0.500
Fe  0.500  0.000  0.500
Fe  0.500  0.500  0.000
Co  0.250  0.250  0.750
Co  0.250  0.750  0.250
Co  0.750  0.250  0.250
Co  0.750  0.750  0.750
Si  0.000  0.000  0.500
Si  0.000  0.500  0.000
Si  0.500  0.000  0.000
Si  0.500  0.500  0.500
Ir  0.250  0.250  0.250
Ir  0.250  0.750  0.750
Ir  0.750  0.250  0.750
Ir  0.750  0.750  0.250

[12]
The following is a DFT calculation (PBE) of a relaxed Fe4CoSi2Ir crystal.

Summary:
For the volume, the calculation gives 11.56 Å³/atom. The value obtained for the calculated total energy is -7.8629 eV/atom. The calculation puts the theoretical density at 9530 kg/m³. Its space group is P-4m2, No. 115.

abc: 4.025 4.025 5.707
angles: 90.00 90.00 90.00
Fractional coordinates of all 8 atoms:
Fe  0.000  0.000  0.000
Fe  0.000  0.500  0.734
Fe  0.500  0.000  0.266
Fe  0.500  0.500  0.500
Co  0.000  0.000  0.500
Si  0.000  0.500  0.258
Si  0.500  0.000  0.742
Ir  0.500  0.500  0.000